A plane-wave DFT calculation with PBE-GGA was carried out for a relaxed HfPaIr2 crystal.

Calculated values
DFT formation energy in eV/f.u.: -3.128
Electronic total energy in eV/atom: -10.0749
V in Å³/atom: 21.0
Symmetry: R-3m
Size of the total moment in μB per formula unit: 0.0
Mass density in g/cm³: 15.66

```
HfPaIr2
1.0
3.940 0.000 0.000
1.970 3.412 0.000
1.970 1.137 6.260
Hf Pa Ir
1 1 2
Direct
0.500 0.500 0.500
0.000 0.000 0.000
0.246 0.246 0.263
0.754 0.754 0.737
```